Entry 1:
The following is a DFT calculation (GGA-PBE) of a relaxed structure of La2TcRu.

Cell lengths 4.9247, 4.9247, 4.9247 Å; angles 60.00, 60.00, 60.00 degrees
Closest atoms and distances in Å follow each position.
Atoms (fractional coordinates):
1 La 0.0000 0.0000 0.0000  4 Tc 3.02, 4 La 3.02
2 La 0.2500 0.2500 0.2500  4 La 3.02, 4 Ru 3.02
3 Ru 0.5000 0.5000 0.5000  4 La 3.02, 4 Tc 3.02
4 Tc 0.7500 0.7500 0.7500  4 Ru 3.02, 4 La 3.02

Computed properties:
E_form (eV per atom): 0.332
Energy relative to the lowest polymorph listed for this composition (eV per atom): 0.3426

Entry 2:
The following is a DFT calculation (GGA-PBE) of a relaxed structure of Tb2TlIr.

Cell lengths 4.0425, 4.0425, 8.2815 Å; angles 75.87, 75.87, 60.00 degrees
Closest atoms and distances in Å follow each position.
Atoms (fractional coordinates):
1 Tb 0.0632 0.0632 0.8102  3 Ir 2.79
2 Tb 0.2701 0.2701 0.1897  3 Ir 2.77
3 Tl 0.5006 0.5006 0.4981  6 Tb 3.38-3.41
4 Ir 0.6660 0.6660 0.0020  6 Tb 2.77-2.79

Computed properties:
E_form (eV per atom): -0.519
Energy relative to the lowest polymorph listed for this composition (eV per atom): 0.0768

Entry 3:
The following is a DFT calculation (GGA-PBE) of a relaxed structure of Gd4H2N.

Cell lengths 4.8257, 4.8257, 6.6501 Å; angles 68.73, 68.73, 90.00 degrees
Closest atoms and distances in Å follow each position.
Atoms (fractional coordinates):
1 H 0.5827 0.5827 0.8347  1 H 1.89
2 H 0.4173 0.4173 0.1653  1 H 1.89
3 Gd 0.7793 0.7793 0.4414  1 H 2.24
4 Gd 0.2207 0.2207 0.5586  1 H 2.24
5 Gd 0.0000 0.5000 0.0000  2 N 2.41, 4 H 2.59
6 Gd 0.5000 0.0000 0.0000  2 N 2.41, 4 H 2.59
7 N 0.0000 0.0000 0.0000  6 Gd 2.41-2.52

Computed properties:
Total DFT energy (no corrections) (eV per cell): -75.02

| no. | D(E_F) (states/eV per cell) |
| --- | --- |
| 1 | 5.08 |
| 2 | 2.23 |
| 3 | 6.41 |